1.
# LaTa3Br

A geometry-optimized LaTa3Br structure (PBE, Alexandria).

calculated volume = 23.292 Å³/atom
total magnetic moment = 0.00 μB/f.u.
energy = -0.5373 Ry/atom

a = 4.883 Å, b = 4.883 Å, c = 4.883 Å
α = 90.00°, β = 90.00°, γ = 90.00°
Space group Pm-3m (No. 221)
Inequivalent atoms, fractional coordinates:
La: 0.000 0.000 0.000 x1
Ta: 0.000 0.500 0.500 x3
Br: 0.500 0.500 0.500 x1



2.
# LaTaBr2

A geometry-optimized LaTaBr2 structure (PBE, Alexandria).

calculated volume = 23.887 Å³/atom
total magnetic moment = 0.00 μB/f.u.
energy = -0.3623 Ry/atom

a = 7.257 Å, b = 7.257 Å, c = 7.257 Å
α = 90.00°, β = 90.00°, γ = 90.00°
Space group Fm-3m (No. 225)
Inequivalent atoms, fractional coordinates:
La: 0.000 0.000 0.000 x4
Ta: 0.000 0.000 0.500 x4
Br: 0.250 0.250 0.250 x8



3.
# LaTaBr2

A geometry-optimized LaTaBr2 structure (PBE, Alexandria).

calculated volume = 24.999 Å³/atom
total magnetic moment = 0.00 μB/f.u.
energy = -0.3884 Ry/atom

a = 3.4195 Å, b = 3.4195 Å, c = 29.6251 Å
α = 90.00°, β = 90.00°, γ = 120.00°
Space group R-3m (No. 166, hexagonal axes)
Inequivalent atoms, fractional coordinates:
La: 0.0000 0.0000 0.0000 x3
Ta: 0.0000 0.0000 0.5000 x3
Br: 0.0000 0.0000 0.4123 x6



4.
# LaTaBr2

A geometry-optimized LaTaBr2 structure (PBE, Alexandria).

calculated volume = 27.435 Å³/atom
total magnetic moment = 0.00 μB/f.u.
energy = -0.4023 Ry/atom

a = 3.412 Å, b = 3.412 Å, c = 9.427 Å
α = 90.00°, β = 90.18°, γ = 90.00°
Space group Pm (No. 6)
Inequivalent atoms, fractional coordinates:
La: 0.000 0.000 0.000 x1
Ta: 0.503 0.500 0.258 x1
Br: 0.004 0.000 0.415 x1
Br: 0.499 0.500 0.784 x1



What is the energy in the second record?
-0.3623 Ry/atom



Which value of calculated volume does entry 4 give?
27.435 Å³/atom



What is the total magnetic moment in the second record?
0.00 μB/f.u.